Density functional theory data (GGA-PBE) for an optimized crystal structure of NiS2.

abc: 6.7091 6.7091 6.7091
angles: 120.07 120.07 89.88
Positions (direct):
Ni  0.0000  0.0000  0.0000
Ni  0.0000  0.0000  0.5000
Ni  0.0000  0.5000  0.0000
Ni  0.5000  0.0000  0.5000
S  0.2135  0.2375  0.9760
S  0.2375  0.2135  0.4760
S  0.2375  0.7615  0.0240
S  0.2385  0.7625  0.4760
S  0.7615  0.2375  0.5240
S  0.7625  0.2385  0.9760
S  0.7625  0.7865  0.5240
S  0.7865  0.7625  0.0240

## Properties
Space group: I4_1/amd (141)
DOS(E_F) in states/eV/f.u.: 0.06
Formation energy without anion corrections in eV/f.u.: -0.6